BaMnFe (GGA-PBE, relaxed); magnetic moment = 5.86 μB/f.u.; energy relative to the lowest polymorph listed for this composition = 0.0775 eV per atom; ΔE_f = 0.744 eV per atom; E = -5.775 eV per atom; space-group type = I4mm (107)
1.0
6.199 -0.209 0.000
4.375 4.397 0.000
-5.287 -2.094 2.477
Ba Mn Fe
1 1 1
Cartesian
10.548 4.178 0.000
7.611 3.015 0.000
2.990 1.184 0.000